1.
The following is a GGA-PBEsol calculation of crystalline BaTaSe2 at its relaxed geometry, from Alexandria.

Results
DFT total energy: -6.369 eV/atom
Formation energy without anion corrections: -0.769 eV per atom
Total magnetic moment: 0.00 μB/cell

Lattice parameters (Å, degrees): 3.339 3.339 7.683 90.00 90.00 90.00
Space group P4/mmm (No. 123)
One atom of each set of equivalent atoms:
Ba 0.000 0.000 0.000 (multiplicity 1)
Ta 0.000 0.000 0.500 (multiplicity 1)
Se 0.500 0.500 0.306 (multiplicity 2)

***

2.
The following is a GGA-PBEsol calculation of crystalline KMg2Mn at its relaxed geometry, from Alexandria.

Results
DFT total energy: -2.884 eV/atom
Total magnetic moment: 16.39 μB/cell
Calculated formation energy: 0.698 eV/atom

Lattice parameters (Å, degrees): 7.443 7.443 7.443 90.00 90.00 90.00
Space group F-43m (No. 216)
One atom of each set of equivalent atoms:
K 0.000 0.000 0.000 (multiplicity 4)
Mg 0.000 0.000 0.500 (multiplicity 4)
Mg 0.250 0.250 0.750 (multiplicity 4)
Mn 0.250 0.250 0.250 (multiplicity 4)

***

3.
The following is a GGA-PBEsol calculation of crystalline ScSi2Au at its relaxed geometry, from Alexandria.

Results
DFT total energy: -5.963 eV/atom
Formation energy without anion corrections: -0.457 eV per atom
Total magnetic moment: 0.00 μB/cell

Lattice parameters (Å, degrees): 3.809 3.809 8.819 90.00 90.00 90.00
Space group I-4m2 (No. 119)
One atom of each set of equivalent atoms:
Sc 0.000 0.000 0.000 (multiplicity 2)
Si 0.000 0.000 0.500 (multiplicity 2)
Si 0.000 0.500 0.250 (multiplicity 2)
Au 0.000 0.500 0.750 (multiplicity 2)

***

4.
The following is a GGA-PBEsol calculation of crystalline Ca2Br at its relaxed geometry, from Alexandria.

Results
DFT total energy: -2.868 eV/atom
Formation energy without anion corrections: -0.823 eV per atom
Total magnetic moment: 0.00 μB/cell

Lattice parameters (Å, degrees): 13.166 3.834 8.240 90.00 96.50 90.00
Space group Cm (No. 8)
One atom of each set of equivalent atoms:
Ca 0.000 0.000 0.000 (multiplicity 2)
Ca 0.022 0.000 0.512 (multiplicity 2)
Ca 0.221 0.500 0.286 (multiplicity 2)
Ca 0.300 0.000 0.688 (multiplicity 2)
Br 0.266 0.500 0.944 (multiplicity 2)
Br 0.404 0.000 0.268 (multiplicity 2)

***

5.
The following is a GGA-PBEsol calculation of crystalline Ag3P11 at its relaxed geometry, from Alexandria.

Results
DFT total energy: -5.280 eV/atom
Total magnetic moment: 0.00 μB/cell
Calculated formation energy: -0.020 eV/atom

Lattice parameters (Å, degrees): 12.908 7.518 6.509 90.00 119.01 90.00
Space group Cm (No. 8)
One atom of each set of equivalent atoms:
Ag 0.000 0.000 0.000 (multiplicity 2)
Ag 0.092 0.500 0.798 (multiplicity 2)
Ag 0.296 0.000 0.031 (multiplicity 2)
P 0.024 0.246 0.530 (multiplicity 4)
P 0.082 0.269 0.259 (multiplicity 4)
P 0.086 0.000 0.732 (multiplicity 2)
P 0.266 0.350 0.506 (multiplicity 4)
P 0.313 0.500 0.035 (multiplicity 2)
P 0.334 0.275 0.267 (multiplicity 4)
P 0.492 0.000 0.042 (multiplicity 2)

***

6.
The following is a GGA-PBEsol calculation of crystalline Al3CuPd at its relaxed geometry, from Alexandria.

Results
DFT total energy: -4.268 eV/atom
Total magnetic moment: 0.00 μB/cell
Calculated formation energy: 0.245 eV/atom

Lattice parameters (Å, degrees): 4.641 4.641 4.641 90.00 90.00 90.00
Space group Pm-3m (No. 221)
One atom of each set of equivalent atoms:
Al 0.000 0.000 0.500 (multiplicity 3)
Cu 0.500 0.500 0.500 (multiplicity 1)
Pd 0.000 0.000 0.000 (multiplicity 1)